No. 1
Material: Hf2Be2Au
Method: DFT, PBE
State: relaxed

Summary:
Uncorrected energy   -6.547 eV per atom
Total magnetic moment   0.002 μB per formula unit

```
Hf2Be2Au
1.0
-1.1169 5.5814 2.7870
-5.1867 -2.4041 2.7359
2.0776 -1.0780 2.9915
Hf Be Au
4 4 2
Cartesian
-2.6304 -1.1988 3.8062
-4.0118 1.2105 5.6338
-0.2143 0.8888 2.8805
-1.5957 3.2981 4.7081
-4.2122 3.3945 4.1486
-1.3359 3.1825 2.0746
-2.0914 -0.2172 1.3742
-4.9678 -0.0052 3.4482
0.0000 0.0000 0.0000
-3.1518 1.5887 2.7614
```


No. 2
Material: BeIn2Hg
Method: DFT, PBE
State: relaxed

Summary:
Uncorrected energy   -1.878 eV per atom

```
BeIn2Hg
1.0
0.0000 3.5478 3.5478
3.5478 0.0000 3.5478
3.5478 3.5478 0.0000
In Be Hg
2 1 1
Cartesian
5.3217 5.3217 5.3217
0.0000 0.0000 0.0000
3.5478 3.5478 3.5478
1.7739 1.7739 1.7739
```


No. 3
Material: SmHo2Tl3
Method: DFT, PBE
State: relaxed

Summary:
Uncorrected energy   -3.837 eV per atom
Total magnetic moment   0.031 μB per formula unit

```
SmHo2Tl3
1.0
3.7580 0.0000 0.0000
0.0000 3.7580 0.0000
0.0000 0.0000 11.5954
Ho Tl Sm
2 3 1
Cartesian
0.0000 0.0000 9.7044
0.0000 0.0000 1.8910
1.8790 1.8790 3.7756
1.8790 1.8790 7.8198
1.8790 1.8790 0.0000
0.0000 0.0000 5.7977
```


No. 4
Material: SrMgNbCo
Method: DFT, PBE
State: relaxed

Summary:
Energy above the lowest structure with this stoichiometry   1.222 eV per formula unit
Uncorrected energy   -4.084 eV per atom
Total magnetic moment   0.765 μB per formula unit

```
SrMgNbCo
1.0
0.0000 3.4261 3.4261
3.4261 0.0000 3.4261
3.4261 3.4261 0.0000
Co Sr Nb Mg
1 1 1 1
Cartesian
0.0000 0.0000 0.0000
1.7130 1.7130 1.7130
3.4261 3.4261 3.4261
5.1391 5.1391 5.1391
```


No. 5
Material: KTbSeO
Method: DFT, PBE
State: relaxed

Summary:
Energy above the lowest structure with this stoichiometry   0.591 eV per formula unit
Uncorrected energy   -5.657 eV per atom
Total magnetic moment   0.003 μB per formula unit

```
KTbSeO
1.0
1.8986 1.0962 7.1087
-1.8986 1.0962 7.1087
0.0000 -2.1923 7.1087
Tb Se K O
1 1 1 1
Cartesian
0.0000 0.0000 0.3289
0.0000 0.0000 5.6363
0.0000 0.0000 10.5297
0.0000 0.0000 15.4941
```


No. 6
Material: Nd2Ho2CI2Cl3
Method: DFT, PBE
State: relaxed

Summary:
Energy above the lowest structure with this stoichiometry   0.397 eV per formula unit
Uncorrected energy   -5.063 eV per atom
Total magnetic moment   0.141 μB per formula unit

```
Nd2Ho2CI2Cl3
1.0
8.9700 -1.9254 0.0000
8.9700 1.9254 0.0000
-1.6269 0.0000 7.9243
Nd Cl Ho I C
2 3 2 2 1
Cartesian
11.4115 0.0000 0.5598
4.9015 0.0000 7.3644
14.7155 0.0000 1.3945
8.1565 0.0000 3.9621
1.5976 0.0000 6.5297
-1.2226 0.0000 6.3195
17.5357 0.0000 1.6047
13.9929 0.0000 4.9469
2.3201 0.0000 2.9773
8.9700 0.0000 0.0000
```


No. 7
Material: GdScSn2
Method: DFT, PBE
State: relaxed

Summary:
Uncorrected energy   -4.626 eV per atom
Total magnetic moment   0.249 μB per formula unit

```
GdScSn2
1.0
-1.0960 2.6520 -1.5583
2.8851 3.9288 4.6572
6.2667 2.4781 -0.1900
Gd Sn Sc
1 2 1
Cartesian
2.8284 3.6897 0.8689
0.4824 2.0474 -0.2762
7.4758 6.9433 3.1375
5.3250 5.4375 2.0876
```


No. 8
Material: PaBiO3
Method: DFT, PBE
State: relaxed

Summary:
Uncorrected energy   -7.456 eV per atom
Total magnetic moment   0.000 μB per formula unit

```
PaBiO3
1.0
4.3935 0.0000 0.0000
0.0000 4.3935 0.0000
0.0000 0.0000 4.4310
O Pa Bi
3 1 1
Cartesian
2.1968 2.1968 0.3387
2.1968 0.0000 2.6328
0.0000 2.1968 2.6328
2.1968 2.1968 2.5352
0.0000 0.0000 0.2795
```